# TbAgSe2 PBE optimized geometry
data_TbAgSe2
_chemical_formula_sum 'Tb1 Ag1 Se2'
_symmetry_space_group_name_H-M 'P 1'
_symmetry_Int_Tables_number 1
_symmetry_space_group_name_Hall 'P 1'
_cell_length_a 4.037
_cell_length_b 4.037
_cell_length_c 7.328
_cell_angle_alpha 74.01
_cell_angle_beta 74.01
_cell_angle_gamma 60.00
loop_
_atom_site_label
_atom_site_type_symbol
_atom_site_fract_x
_atom_site_fract_y
_atom_site_fract_z
Tb1 Tb 0.500 0.500 0.499
Ag1 Ag 0.667 0.667 0.999
Se1 Se 0.082 0.082 0.753
Se2 Se 0.250 0.250 0.249
# Uncorrected energy, eV for the cell shown: -18.77
# Symmetry: R3m

# Tb2Ag4Se5 PBE optimized geometry
data_Tb2Ag4Se5
_chemical_formula_sum 'Tb2 Ag4 Se5'
_symmetry_space_group_name_H-M 'P 1'
_symmetry_Int_Tables_number 1
_symmetry_space_group_name_Hall 'P 1'
_cell_length_a 4.230
_cell_length_b 4.230
_cell_length_c 18.271
_cell_angle_alpha 83.35
_cell_angle_beta 83.35
_cell_angle_gamma 60.00
loop_
_atom_site_label
_atom_site_type_symbol
_atom_site_fract_x
_atom_site_fract_y
_atom_site_fract_z
Tb1 Tb 0.136 0.136 0.592
Tb2 Tb 0.864 0.864 0.408
Ag1 Ag 0.687 0.687 0.939
Ag2 Ag 0.585 0.585 0.245
Ag3 Ag 0.415 0.415 0.755
Ag4 Ag 0.313 0.313 0.061
Se1 Se 0.774 0.774 0.679
Se2 Se 0.632 0.632 0.104
Se3 Se 0.500 0.500 0.500
Se4 Se 0.368 0.368 0.896
Se5 Se 0.226 0.226 0.321
# Uncorrected energy, eV for the cell shown: -46.05
# Symmetry: R-3m
# DOS(E_F), states/eV/f.u.: 4.600

# Tb5AgSe8 PBE optimized geometry
data_Tb5AgSe8
_chemical_formula_sum 'Tb5 Ag1 Se8'
_symmetry_space_group_name_H-M 'P 1'
_symmetry_Int_Tables_number 1
_symmetry_space_group_name_Hall 'P 1'
_cell_length_a 7.571
_cell_length_b 7.571
_cell_length_c 7.571
_cell_angle_alpha 109.74
_cell_angle_beta 108.94
_cell_angle_gamma 109.74
loop_
_atom_site_label
_atom_site_type_symbol
_atom_site_fract_x
_atom_site_fract_y
_atom_site_fract_z
Tb1 Tb 0.014 0.379 0.130
Tb2 Tb 0.870 0.885 0.250
Tb3 Tb 0.750 0.621 0.635
Tb4 Tb 0.500 0.000 0.500
Tb5 Tb 0.365 0.115 0.986
Ag1 Ag 0.250 0.500 0.750
Se1 Se 0.132 0.751 0.020
Se2 Se 0.980 0.113 0.731
Se3 Se 0.748 0.241 0.358
Se4 Se 0.642 0.389 0.883
Se5 Se 0.493 0.611 0.252
Se6 Se 0.618 0.887 0.868
Se7 Se 0.269 0.249 0.382
Se8 Se 0.117 0.759 0.507
# Uncorrected energy, eV for the cell shown: -77.03
# Symmetry: I-4
# DOS(E_F), states/eV/f.u.: 0.000

# Tb2AgSe4 PBE optimized geometry
data_Tb2AgSe4
_chemical_formula_sum 'Tb4 Ag2 Se8'
_symmetry_space_group_name_H-M 'P 1'
_symmetry_Int_Tables_number 1
_symmetry_space_group_name_Hall 'P 1'
_cell_length_a 6.964
_cell_length_b 5.667
_cell_length_c 8.911
_cell_angle_alpha 90.00
_cell_angle_beta 99.50
_cell_angle_gamma 90.00
loop_
_atom_site_label
_atom_site_type_symbol
_atom_site_fract_x
_atom_site_fract_y
_atom_site_fract_z
Tb1 Tb 0.840 0.750 0.143
Tb2 Tb 0.160 0.250 0.857
Tb3 Tb 0.240 0.250 0.435
Tb4 Tb 0.760 0.750 0.565
Ag1 Ag 0.348 0.750 0.065
Ag2 Ag 0.652 0.250 0.935
Se1 Se 0.552 0.492 0.290
Se2 Se 0.025 0.750 0.875
Se3 Se 0.975 0.250 0.125
Se4 Se 0.552 0.008 0.290
Se5 Se 0.905 0.250 0.590
Se6 Se 0.448 0.992 0.710
Se7 Se 0.448 0.508 0.710
Se8 Se 0.095 0.750 0.410
# Uncorrected energy, eV for the cell shown: -69.70
# Symmetry: P2_1/m
# DOS(E_F), states/eV/f.u.: 0.700

# Tb2AgSe3 PBE optimized geometry
data_Tb2AgSe3
_chemical_formula_sum 'Tb2 Ag1 Se3'
_symmetry_space_group_name_H-M 'P 1'
_symmetry_Int_Tables_number 1
_symmetry_space_group_name_Hall 'P 1'
_cell_length_a 3.756
_cell_length_b 4.818
_cell_length_c 8.666
_cell_angle_alpha 106.14
_cell_angle_beta 102.51
_cell_angle_gamma 90.00
loop_
_atom_site_label
_atom_site_type_symbol
_atom_site_fract_x
_atom_site_fract_y
_atom_site_fract_z
Tb1 Tb 0.642 0.642 0.285
Tb2 Tb 0.358 0.358 0.715
Ag1 Ag 0.000 0.000 0.000
Se1 Se 0.000 0.500 0.000
Se2 Se 0.821 0.821 0.641
Se3 Se 0.179 0.179 0.359
# Uncorrected energy, eV for the cell shown: -30.04
# Symmetry: Immm
# DOS(E_F), states/eV/f.u.: 1.669

# TbAgSe2 PBE optimized geometry
data_TbAgSe2
_chemical_formula_sum 'Tb1 Ag1 Se2'
_symmetry_space_group_name_H-M 'P 1'
_symmetry_Int_Tables_number 1
_symmetry_space_group_name_Hall 'P 1'
_cell_length_a 4.273
_cell_length_b 4.273
_cell_length_c 8.346
_cell_angle_alpha 75.17
_cell_angle_beta 75.17
_cell_angle_gamma 60.00
loop_
_atom_site_label
_atom_site_type_symbol
_atom_site_fract_x
_atom_site_fract_y
_atom_site_fract_z
Tb1 Tb 0.500 0.500 0.500
Se1 Se 0.104 0.104 0.689
Se2 Se 0.896 0.896 0.311
Ag1 Ag 0.000 0.000 0.000
# Uncorrected energy, eV for the cell shown: -19.09
# Symmetry: R-3m
# DOS(E_F), states/eV/f.u.: 0.000

# Tb5AgSe8 PBE optimized geometry
data_Tb5AgSe8
_chemical_formula_sum 'Tb5 Ag1 Se8'
_symmetry_space_group_name_H-M 'P 1'
_symmetry_Int_Tables_number 1
_symmetry_space_group_name_Hall 'P 1'
_cell_length_a 8.419
_cell_length_b 8.419
_cell_length_c 8.419
_cell_angle_alpha 60.00
_cell_angle_beta 60.00
_cell_angle_gamma 60.00
loop_
_atom_site_label
_atom_site_type_symbol
_atom_site_fract_x
_atom_site_fract_y
_atom_site_fract_z
Tb1 Tb 0.000 0.000 0.000
Tb2 Tb 0.620 0.620 0.139
Tb3 Tb 0.620 0.620 0.620
Tb4 Tb 0.139 0.620 0.620
Tb5 Tb 0.620 0.139 0.620
Ag1 Ag 0.250 0.250 0.250
Se1 Se 0.381 0.856 0.381
Se2 Se 0.856 0.381 0.381
Se3 Se 0.381 0.381 0.381
Se4 Se 0.381 0.381 0.856
Se5 Se 0.867 0.867 0.400
Se6 Se 0.400 0.867 0.867
Se7 Se 0.867 0.867 0.867
Se8 Se 0.867 0.400 0.867
# Uncorrected energy, eV for the cell shown: -76.99
# Symmetry: F-43m
# DOS(E_F), states/eV/f.u.: 0.000

# TbAg2Se3 PBE optimized geometry
data_TbAg2Se3
_chemical_formula_sum 'Tb2 Ag4 Se6'
_symmetry_space_group_name_H-M 'P 1'
_symmetry_Int_Tables_number 1
_symmetry_space_group_name_Hall 'P 1'
_cell_length_a 5.282
_cell_length_b 7.786
_cell_length_c 7.786
_cell_angle_alpha 113.44
_cell_angle_beta 90.00
_cell_angle_gamma 90.00
loop_
_atom_site_label
_atom_site_type_symbol
_atom_site_fract_x
_atom_site_fract_y
_atom_site_fract_z
Tb1 Tb 0.250 0.262 0.738
Tb2 Tb 0.750 0.738 0.262
Ag1 Ag 0.000 0.213 0.213
Ag2 Ag 0.500 0.213 0.213
Ag3 Ag 0.000 0.787 0.787
Ag4 Ag 0.500 0.787 0.787
Se1 Se 0.750 0.131 0.869
Se2 Se 0.750 0.141 0.473
Se3 Se 0.250 0.473 0.141
Se4 Se 0.750 0.527 0.859
Se5 Se 0.250 0.859 0.527
Se6 Se 0.250 0.869 0.131
# Uncorrected energy, eV for the cell shown: -48.46
# Symmetry: Cmcm
# DOS(E_F), states/eV/f.u.: 3.238

# Tb4AgSe5 PBE optimized geometry
data_Tb4AgSe5
_chemical_formula_sum 'Tb4 Ag1 Se5'
_symmetry_space_group_name_H-M 'P 1'
_symmetry_Int_Tables_number 1
_symmetry_space_group_name_Hall 'P 1'
_cell_length_a 4.056
_cell_length_b 9.017
_cell_length_c 9.212
_cell_angle_alpha 106.80
_cell_angle_beta 102.72
_cell_angle_gamma 90.00
loop_
_atom_site_label
_atom_site_type_symbol
_atom_site_fract_x
_atom_site_fract_y
_atom_site_fract_z
Tb1 Tb 0.318 0.888 0.636
Tb2 Tb 0.996 0.718 0.993
Tb3 Tb 0.682 0.112 0.364
Tb4 Tb 0.004 0.282 0.007
Ag1 Ag 0.500 0.000 0.000
Se1 Se 0.840 0.691 0.679
Se2 Se 0.841 0.129 0.681
Se3 Se 0.159 0.871 0.319
Se4 Se 0.500 0.500 0.000
Se5 Se 0.160 0.309 0.321
# Uncorrected energy, eV for the cell shown: -53.16
# Symmetry: C2/m
# DOS(E_F), states/eV/f.u.: 3.592

# Tb5AgSe4 PBE optimized geometry
data_Tb5AgSe4
_chemical_formula_sum 'Tb5 Ag1 Se4'
_symmetry_space_group_name_H-M 'P 1'
_symmetry_Int_Tables_number 1
_symmetry_space_group_name_Hall 'P 1'
_cell_length_a 4.068
_cell_length_b 7.219
_cell_length_c 9.218
_cell_angle_alpha 75.54
_cell_angle_beta 77.25
_cell_angle_gamma 73.64
loop_
_atom_site_label
_atom_site_type_symbol
_atom_site_fract_x
_atom_site_fract_y
_atom_site_fract_z
Tb1 Tb 0.200 0.901 0.699
Tb2 Tb 0.800 0.099 0.301
Tb3 Tb 0.398 0.308 0.897
Tb4 Tb 0.000 0.500 0.500
Tb5 Tb 0.602 0.692 0.103
Ag1 Ag 0.000 0.000 0.000
Se1 Se 0.601 0.202 0.596
Se2 Se 0.201 0.397 0.202
Se3 Se 0.799 0.603 0.798
Se4 Se 0.399 0.798 0.404
# Uncorrected energy, eV for the cell shown: -54.58
# Symmetry: C2/m
# DOS(E_F), states/eV/f.u.: 5.668

# Tb4AgTe2Se PBE optimized geometry
data_Tb4AgTe2Se
_chemical_formula_sum 'Tb4 Ag1 Te2 Se1'
_symmetry_space_group_name_H-M 'P 1'
_symmetry_Int_Tables_number 1
_symmetry_space_group_name_Hall 'P 1'
_cell_length_a 4.167
_cell_length_b 7.453
_cell_length_c 7.511
_cell_angle_alpha 71.64
_cell_angle_beta 90.00
_cell_angle_gamma 90.00
loop_
_atom_site_label
_atom_site_type_symbol
_atom_site_fract_x
_atom_site_fract_y
_atom_site_fract_z
Tb1 Tb 0.000 0.729 0.761
Tb2 Tb 0.000 0.271 0.239
Tb3 Tb 0.500 0.730 0.257
Tb4 Tb 0.500 0.270 0.743
Ag1 Ag 0.000 0.500 0.500
Te1 Te 0.000 0.000 0.000
Te2 Te 0.500 0.000 0.500
Se1 Se 0.500 0.500 0.000
# Uncorrected energy, eV for the cell shown: -40.40
# Symmetry: P2/m
# DOS(E_F), states/eV/f.u.: 5.174

# TbAg2TeSe4 PBE optimized geometry
data_TbAg2TeSe4
_chemical_formula_sum 'Tb2 Ag4 Te2 Se8'
_symmetry_space_group_name_H-M 'P 1'
_symmetry_Int_Tables_number 1
_symmetry_space_group_name_Hall 'P 1'
_cell_length_a 8.219
_cell_length_b 8.219
_cell_length_c 8.208
_cell_angle_alpha 119.95
_cell_angle_beta 119.95
_cell_angle_gamma 87.17
loop_
_atom_site_label
_atom_site_type_symbol
_atom_site_fract_x
_atom_site_fract_y
_atom_site_fract_z
Tb1 Tb 0.000 0.500 0.000
Tb2 Tb 0.000 0.500 0.500
Ag1 Ag 0.500 0.000 0.000
Ag2 Ag 0.500 0.000 0.500
Ag3 Ag 0.000 0.000 0.500
Ag4 Ag 0.500 0.500 0.000
Te1 Te 0.500 0.500 0.500
Te2 Te 0.000 0.000 0.000
Se1 Se 0.239 0.737 0.989
Se2 Se 0.763 0.261 0.511
Se3 Se 0.237 0.739 0.489
Se4 Se 0.761 0.263 0.011
Se5 Se 0.781 0.795 0.047
Se6 Se 0.705 0.719 0.453
Se7 Se 0.295 0.281 0.547
Se8 Se 0.219 0.205 0.953
# Uncorrected energy, eV for the cell shown: -63.65
# Symmetry: C2/c
# DOS(E_F), states/eV/f.u.: 2.170